Entry 1:
{"formula": "TbErIr", "functional": "PBE-GGA", "state": "optimized geometry", "lattice_angstrom": [[0.0000, 3.3898, 3.3898], [3.3898, 0.0000, 3.3898], [3.3898, 3.3898, 0.0000]], "species": ["Tb", "Er", "Ir"], "fractional_positions": [[0.0000, 0.0000, 0.0000], [0.5000, 0.5000, 0.5000], [0.2500, 0.2500, 0.2500]], "sg": "No. 216", "polymorph_energy_mev_per_atom": 7, "vol_a3_per_atom": 26.0, "m_tot_mub_per_cell": 0.0, "ef_ev_per_atom": -0.709, "mass_density_g_cm3": 11.05}


Entry 2:
{"formula": "Tb4ErIr5", "functional": "PBE-GGA", "state": "optimized geometry", "lattice_angstrom": [[3.3618, 0.0000, 0.0000], [0.0000, 3.3618, 0.0000], [0.0000, 0.0000, 17.8871]], "species": ["Tb", "Tb", "Tb", "Tb", "Er", "Ir", "Ir", "Ir", "Ir", "Ir"], "fractional_positions": [[0.0000, 0.0000, 0.1006], [0.0000, 0.0000, 0.3016], [0.0000, 0.0000, 0.6984], [0.0000, 0.0000, 0.8994], [0.0000, 0.0000, 0.5000], [0.5000, 0.5000, 0.0000], [0.5000, 0.5000, 0.2013], [0.5000, 0.5000, 0.4028], [0.5000, 0.5000, 0.5972], [0.5000, 0.5000, 0.7987]], "sg": "No. 123", "vol_a3_per_atom": 20.2, "m_tot_mub_per_cell": 0.0, "ef_ev_per_atom": -0.789, "mass_density_g_cm3": 14.49}